(1)
Density functional theory data (PBE) for a relaxed LaMgNiRu crystal. Values from VASP.

Values from the calculation:
**Formation enthalpy at 0 K**: -0.065 eV per atom
**M_tot**: 0.000 Bohr magnetons per cell
**DFT total energy**: -5.46 eV per atom

Geometry as Quantum ESPRESSO input:
```
&SYSTEM
  ibrav = 0, nat = 4, ntyp = 4
/
ATOMIC_SPECIES
La 138.91 La.upf
Mg 24.30 Mg.upf
Ni 58.69 Ni.upf
Ru 101.07 Ru.upf
ATOMIC_POSITIONS angstrom
La 0.000 0.000 0.000
Mg 3.336 3.336 3.336
Ni 1.668 1.668 1.668
Ru 5.005 5.005 5.005
CELL_PARAMETERS angstrom
0.000 3.336 3.336
3.336 0.000 3.336
3.336 3.336 0.000
```

=====

(2)
Density functional theory data (PBE) for a relaxed LiFe2Br8 crystal. Values from VASP.

Values from the calculation:
**Formation energy from raw total energies**: -597 meV per atom
**M_tot**: 8.998 Bohr magnetons per cell
**DFT total energy**: -3.53 eV per atom
**Energy above the lowest structure with this stoichiometry**: 0.00 eV/f.u.

Geometry as Quantum ESPRESSO input:
```
&SYSTEM
  ibrav = 0, nat = 11, ntyp = 3
/
ATOMIC_SPECIES
Li 6.94 Li.upf
Fe 55.84 Fe.upf
Br 79.90 Br.upf
ATOMIC_POSITIONS angstrom
Li 0.000 0.000 0.000
Fe 1.739 0.000 4.401
Fe 8.666 0.000 2.049
Br 4.200 3.780 1.303
Br 2.156 0.000 2.130
Br 6.205 3.780 5.146
Br 3.913 0.000 5.234
Br 6.492 0.000 1.215
Br 4.200 -3.780 1.303
Br 8.249 0.000 4.319
Br 6.205 -3.780 5.146
CELL_PARAMETERS angstrom
5.679 -5.641 0.000
5.679 5.641 0.000
-0.953 0.000 6.449
```

=====

(3)
Density functional theory data (PBE) for a relaxed CaY2Se2 crystal. Values from VASP.

Values from the calculation:
**Formation energy from raw total energies**: -1270 meV per atom
**M_tot**: 0.000 Bohr magnetons per cell
**DFT total energy**: -5.65 eV per atom

Geometry as Quantum ESPRESSO input:
```
&SYSTEM
  ibrav = 0, nat = 10, ntyp = 3
/
ATOMIC_SPECIES
Ca 40.08 Ca.upf
Y 88.91 Y.upf
Se 78.96 Se.upf
ATOMIC_POSITIONS angstrom
Ca 0.000 0.000 0.000
Ca 3.971 3.971 0.000
Y 1.209 2.762 1.947
Y 2.762 6.733 1.947
Y 5.180 1.209 1.947
Y 6.733 5.180 1.947
Se 1.157 5.128 0.000
Se 2.814 1.157 0.000
Se 5.128 6.785 0.000
Se 6.785 2.814 0.000
CELL_PARAMETERS angstrom
7.942 0.000 0.000
0.000 7.942 0.000
0.000 0.000 3.893
```

=====

(4)
Density functional theory data (PBE) for a relaxed Tl2SbP crystal. Values from VASP.

Values from the calculation:
**Formation energy from raw total energies**: 308 meV per atom
**M_tot**: 0.000 Bohr magnetons per cell
**DFT total energy**: -3.26 eV per atom
**Energy above the lowest structure with this stoichiometry**: 0.92 eV/f.u.

Geometry as Quantum ESPRESSO input:
```
&SYSTEM
  ibrav = 0, nat = 4, ntyp = 3
/
ATOMIC_SPECIES
Tl 204.38 Tl.upf
Sb 121.76 Sb.upf
P 30.97 P.upf
ATOMIC_POSITIONS angstrom
Tl 0.000 0.000 0.000
Tl 2.158 2.188 0.000
Sb 0.000 2.188 2.827
P 2.158 0.000 2.827
CELL_PARAMETERS angstrom
4.316 0.000 0.000
0.000 4.375 0.000
0.000 0.000 5.655
```

=====

(5)
Density functional theory data (PBE) for a relaxed ScGaSi3 crystal. Values from VASP.

Values from the calculation:
**Formation energy from raw total energies**: 688 meV per atom
**M_tot**: 0.000 Bohr magnetons per cell
**DFT total energy**: -4.44 eV per atom
**Energy above the lowest structure with this stoichiometry**: 0.00 eV/f.u.

Geometry as Quantum ESPRESSO input:
```
&SYSTEM
  ibrav = 0, nat = 5, ntyp = 3
/
ATOMIC_SPECIES
Sc 44.96 Sc.upf
Ga 69.72 Ga.upf
Si 28.09 Si.upf
ATOMIC_POSITIONS angstrom
Sc 0.000 0.000 0.000
Ga 2.365 2.365 2.365
Si 0.000 2.365 2.365
Si 2.365 0.000 2.365
Si 2.365 2.365 0.000
CELL_PARAMETERS angstrom
4.731 0.000 0.000
0.000 4.731 0.000
0.000 0.000 4.731
```

=====

(6)
Density functional theory data (PBE) for a relaxed KAgHg3 crystal. Values from VASP.

Values from the calculation:
**Formation enthalpy at 0 K**: 0.395 eV per atom
**M_tot**: 0.000 Bohr magnetons per cell
**DFT total energy**: -0.58 eV per atom
**Energy above the lowest structure with this stoichiometry**: 2.57 eV/f.u.

Geometry as Quantum ESPRESSO input:
```
&SYSTEM
  ibrav = 0, nat = 5, ntyp = 3
/
ATOMIC_SPECIES
K 39.10 K.upf
Ag 107.87 Ag.upf
Hg 200.59 Hg.upf
ATOMIC_POSITIONS angstrom
K 0.000 0.000 0.000
Ag 3.182 3.182 3.182
Hg 0.000 0.000 3.182
Hg 0.000 3.182 0.000
Hg 3.182 0.000 0.000
CELL_PARAMETERS angstrom
6.364 0.000 0.000
0.000 6.364 0.000
0.000 0.000 6.364
```

=====

(7)
Density functional theory data (PBE) for a relaxed VNi4Ru crystal. Values from VASP.

Values from the calculation:
**Formation enthalpy at 0 K**: -0.017 eV per atom
**M_tot**: 1.281 Bohr magnetons per cell
**DFT total energy**: -6.94 eV per atom
**Energy above the lowest structure with this stoichiometry**: 0.55 eV/f.u.

Geometry as Quantum ESPRESSO input:
```
&SYSTEM
  ibrav = 0, nat = 6, ntyp = 3
/
ATOMIC_SPECIES
V 50.94 V.upf
Ni 58.69 Ni.upf
Ru 101.07 Ru.upf
ATOMIC_POSITIONS angstrom
V 0.000 0.000 0.000
Ni 2.464 2.464 2.464
Ni 4.104 4.104 2.464
Ni 4.104 2.464 4.104
Ni 2.464 4.104 4.104
Ru 4.926 4.926 4.926
CELL_PARAMETERS angstrom
0.000 3.284 3.284
3.284 0.000 3.284
3.284 3.284 0.000
```

=====

(8)
Density functional theory data (PBE) for a relaxed YInPbBr2 crystal. Values from VASP.

Values from the calculation:
**Formation energy from raw total energies**: 53 meV per atom
**M_tot**: 0.822 Bohr magnetons per cell
**DFT total energy**: -3.20 eV per atom

Geometry as Quantum ESPRESSO input:
```
&SYSTEM
  ibrav = 0, nat = 5, ntyp = 4
/
ATOMIC_SPECIES
Y 88.91 Y.upf
In 114.82 In.upf
Pb 207.20 Pb.upf
Br 79.90 Br.upf
ATOMIC_POSITIONS angstrom
Y 0.000 0.000 0.000
In 2.839 2.839 0.000
Pb 2.839 2.839 3.019
Br 0.000 2.839 3.019
Br 2.839 0.000 3.019
CELL_PARAMETERS angstrom
5.677 0.000 0.000
0.000 5.677 0.000
0.000 0.000 6.038
```

=====

(9)
Density functional theory data (PBE) for a relaxed NaCaCdAs crystal. Values from VASP.

Values from the calculation:
**Formation enthalpy at 0 K**: -0.496 eV per atom
**M_tot**: 0.000 Bohr magnetons per cell
**DFT total energy**: -2.72 eV per atom

Geometry as Quantum ESPRESSO input:
```
&SYSTEM
  ibrav = 0, nat = 4, ntyp = 4
/
ATOMIC_SPECIES
Na 22.99 Na.upf
Ca 40.08 Ca.upf
Cd 112.41 Cd.upf
As 74.92 As.upf
ATOMIC_POSITIONS angstrom
Na 0.000 0.000 0.000
Ca 3.673 3.673 3.673
Cd 5.510 5.510 5.510
As 1.837 1.837 1.837
CELL_PARAMETERS angstrom
0.000 3.673 3.673
3.673 0.000 3.673
3.673 3.673 0.000
```

=====

(10)
Density functional theory data (PBE) for a relaxed AsW2Cl crystal. Values from VASP.

Values from the calculation:
**Formation energy from raw total energies**: 1312 meV per atom
**M_tot**: 0.411 Bohr magnetons per cell
**DFT total energy**: -6.79 eV per atom
**Energy above the lowest structure with this stoichiometry**: 5.30 eV/f.u.

Geometry as Quantum ESPRESSO input:
```
&SYSTEM
  ibrav = 0, nat = 8, ntyp = 3
/
ATOMIC_SPECIES
As 74.92 As.upf
W 183.84 W.upf
Cl 35.45 Cl.upf
ATOMIC_POSITIONS angstrom
As 0.000 0.000 0.000
As 0.000 2.906 2.413
W 1.453 -1.317 3.620
W 1.589 1.453 1.207
W 1.453 4.224 -1.207
W 1.317 1.453 6.033
Cl 2.906 0.000 2.413
Cl 0.000 0.000 4.826
CELL_PARAMETERS angstrom
-2.906 2.906 4.826
2.906 -2.906 4.826
2.906 2.906 -4.826
```

=====

(11)
Density functional theory data (PBE) for a relaxed CaGdLuAl crystal. Values from VASP.

Values from the calculation:
**Formation enthalpy at 0 K**: -0.034 eV per atom
**M_tot**: 7.319 Bohr magnetons per cell
**DFT total energy**: -6.12 eV per atom

Geometry as Quantum ESPRESSO input:
```
&SYSTEM
  ibrav = 0, nat = 4, ntyp = 4
/
ATOMIC_SPECIES
Ca 40.08 Ca.upf
Gd 157.25 Gd.upf
Lu 174.97 Lu.upf
Al 26.98 Al.upf
ATOMIC_POSITIONS angstrom
Ca 0.000 0.000 0.000
Gd 5.684 5.684 5.684
Lu 1.895 1.895 1.895
Al 3.789 3.789 3.789
CELL_PARAMETERS angstrom
0.000 3.789 3.789
3.789 0.000 3.789
3.789 3.789 0.000
```

=====

(12)
Density functional theory data (PBE) for a relaxed K2BiCl5 crystal. Values from VASP.

Values from the calculation:
**Formation energy from raw total energies**: -1514 meV per atom
**M_tot**: 0.000 Bohr magnetons per cell
**DFT total energy**: -3.43 eV per atom
**Energy above the lowest structure with this stoichiometry**: 0.00 eV/f.u.

Geometry as Quantum ESPRESSO input:
```
&SYSTEM
  ibrav = 0, nat = 32, ntyp = 3
/
ATOMIC_SPECIES
K 39.10 K.upf
Bi 208.98 Bi.upf
Cl 35.45 Cl.upf
ATOMIC_POSITIONS angstrom
K 2.193 0.041 0.495
K 2.193 4.367 0.495
K 4.262 4.450 4.586
K 4.262 8.775 4.586
K 8.647 0.041 3.597
K 8.647 4.367 3.597
K 10.716 4.450 7.689
K 10.716 8.775 7.689
Bi 0.047 2.204 4.658
Bi 6.407 6.612 0.567
Bi 6.501 2.204 7.617
Bi 12.862 6.612 3.525
Cl 0.151 2.204 7.501
Cl 0.922 4.816 5.466
Cl 0.922 8.408 5.466
Cl 2.361 2.204 3.137
Cl 2.605 6.612 2.817
Cl 3.849 2.204 6.908
Cl 4.093 6.612 7.228
Cl 5.532 0.408 1.374
Cl 5.532 4.000 1.374
Cl 6.304 6.612 3.409
Cl 6.605 2.204 4.775
Cl 7.377 4.816 6.810
Cl 7.377 8.408 6.810
Cl 8.816 2.204 0.955
Cl 9.060 6.612 1.275
Cl 10.303 2.204 5.367
Cl 10.547 6.612 5.047
Cl 11.986 0.408 2.718
Cl 11.986 4.000 2.718
Cl 12.758 6.612 0.683
CELL_PARAMETERS angstrom
12.909 0.000 0.000
0.000 8.816 0.000
0.000 0.000 8.184
```